1.
An optimized crystal structure of YCr4Te. Source: Alexandria, functional GGA-PBE.

It has space group F-43m (No. 216), with a = 7.206 Å, b = 7.206 Å, c = 7.206 Å, α = 90.00°, β = 90.00° and γ = 90.00°. Symmetry generates all atoms from Y at (0.000, 0.000, 0.000), Cr at (0.124, 0.124, 0.624) and Te at (0.250, 0.250, 0.250).

2.
An optimized crystal structure of Y2CrTe. Source: Alexandria, functional GGA-PBE.

Its excess energy over the best structure of this formula in the dataset is 0.085 eV per atom.

It has space group P4/mmm (No. 123), with a = 3.800 Å, b = 3.800 Å, c = 7.054 Å, α = 90.00°, β = 90.00° and γ = 90.00°. Symmetry generates all atoms from Y at (0.000, 0.000, 0.242), Cr at (0.500, 0.500, 0.000) and Te at (0.500, 0.500, 0.500).

3.
An optimized crystal structure of YCrTe2. Source: Alexandria, functional GGA-PBE.

Its excess energy over the best structure of this formula in the dataset is 0.480 eV per atom.

It has space group R-3m (No. 166, hexagonal axes), with a = 3.9232 Å, b = 3.9232 Å, c = 27.3559 Å, α = 90.00°, β = 90.00° and γ = 120.00°. Symmetry generates all atoms from Y at (0.0000, 0.0000, 0.0000), Cr at (0.0000, 0.0000, 0.5000) and Te at (0.0000, 0.0000, 0.1108).

4.
An optimized crystal structure of Y2CrTe. Source: Alexandria, functional GGA-PBE.

Its excess energy over the best structure of this formula in the dataset is 0.349 eV per atom.

It has space group R3m (No. 160, hexagonal axes), with a = 4.6586 Å, b = 4.6586 Å, c = 16.5125 Å, α = 90.00°, β = 90.00° and γ = 120.00°. Symmetry generates all atoms from Y at (0.0000, 0.0000, 0.0000), Y at (0.0000, 0.0000, 0.2025), Cr at (0.0000, 0.0000, 0.4195) and Te at (0.0000, 0.0000, 0.7821).

For each record above, in turn, the calculated D(E_F) values are 5.00, 2.64, 1.97, 2.73 states/eV/f.u..
For each record above, in turn, the calculated formation energy (no corrections) values are 0.349, -0.358, -0.227, -0.094 eV per atom.